No. 1
A plane-wave DFT calculation with GGA-PBE was carried out for a relaxed Mn2AuSe crystal.

Computed properties:
- space-group type = P4/mmm (123)
- DFT total energy (eV for the cell shown) = -24.9

Structure (POSCAR):
```
Mn2AuSe
1.0
3.3410 0.0000 0.0000
0.0000 3.3410 0.0000
0.0000 0.0000 6.1016
Mn Au Se
2 1 1
Cartesian
0.0000 0.0000 1.4883 Mn
0.0000 0.0000 4.6132 Mn
1.6705 1.6705 3.0508 Au
1.6705 1.6705 0.0000 Se
```


No. 2
A plane-wave DFT calculation with GGA-PBE was carried out for a relaxed LiThIn4Pd2 crystal.

Computed properties:
- space-group type = P4/mmm (123)
- DFT total energy (eV for the cell shown) = -33.5

Structure (POSCAR):
```
LiThIn4Pd2
1.0
4.3854 0.0000 0.0000
0.0000 4.3854 0.0000
0.0000 0.0000 9.1988
Li Th In Pd
1 1 4 2
Cartesian
0.0000 0.0000 0.0000 Li
0.0000 0.0000 4.5994 Th
0.0000 2.1927 1.6267 In
0.0000 2.1927 7.5721 In
2.1927 0.0000 1.6267 In
2.1927 0.0000 7.5721 In
2.1927 2.1927 3.3031 Pd
2.1927 2.1927 5.8957 Pd
```